# 1
This record from Alexandria describes a relaxed Nd6InAu crystal. The functional is PBE.

```
Nd6InAu
1.0
6.288 0.000 0.000
-0.448 6.282 0.000
-0.453 -0.470 6.266
Nd In Au
6 1 1
direct
0.024 0.255 0.060 Nd
0.245 0.941 0.473 Nd
0.441 0.472 0.746 Nd
0.559 0.528 0.254 Nd
0.755 0.059 0.527 Nd
0.976 0.745 0.940 Nd
0.500 0.000 0.000 In
0.000 0.500 0.500 Au
```

## Properties
The raw total energy comes out at -0.1681 Ha/atom. The energy of formation comes out at -0.247 eV/atom. The calculation puts the calculated volume at 247.5 Å³/f.u. Its space group is P-1.

# 2
This record from Alexandria describes a relaxed Cs2LiTiCo crystal. The functional is PBE.

```
Cs2LiTiCo
1.0
7.374 0.000 0.000
0.000 7.374 0.000
0.000 0.000 4.147
Cs Li Ti Co
2 1 1 1
direct
0.000 0.500 0.000 Cs
0.500 0.000 0.000 Cs
0.000 0.000 0.500 Li
0.500 0.500 0.000 Ti
0.500 0.500 0.500 Co
```

## Properties
The raw total energy comes out at -0.1036 Ha/atom. The energy of formation comes out at 0.906 eV/atom. The calculation puts the calculated volume at 225.5 Å³/f.u. Its space group is P4/mmm.

# 3
This record from Alexandria describes a relaxed CsLi2Sb2 crystal. The functional is PBE.

```
CsLi2Sb2
1.0
9.493 0.000 0.000
0.000 9.493 0.000
0.000 0.000 3.335
Cs Li Sb
2 4 4
direct
0.000 0.000 0.000 Cs
0.500 0.500 0.000 Cs
0.131 0.369 0.500 Li
0.369 0.869 0.500 Li
0.631 0.131 0.500 Li
0.869 0.631 0.500 Li
0.128 0.628 0.000 Sb
0.372 0.128 0.000 Sb
0.628 0.872 0.000 Sb
0.872 0.372 0.000 Sb
```

## Properties
For the energy above the most stable polymorph in this dataset, the calculation gives 0.1455 eV/atom. The raw total energy comes out at -0.1060 Ha/atom. The calculation puts the calculated volume at 150.3 Å³/f.u. Its uncorrected formation energy is -300.6 meV per atom. Its space group is P4/mbm.

> Which formula does entry 1 have?

Nd6InAu

> Look up the calculated volume of the first one.

247.5 Å³/f.u.